Model one:
Y4HoTh: relaxed, PBE.

Computed properties:
As for the size of the total moment: 0.000 Bohr magnetons per cell. Its symmetry is C2/m (12).

abc: 6.1748 6.1748 7.1235
angles: 106.36 106.36 48.44
Fractional coordinates of all 6 atoms:
Y 0.1632 0.1632 0.3277
Y 0.1656 0.1656 0.8365
Y 0.8344 0.8344 0.1635
Y 0.8368 0.8368 0.6723
Ho 0.5000 0.5000 0.5000
Th 0.5000 0.5000 0.0000

***

Model two:
Y4HoTh: relaxed, PBE.

Computed properties:
As for the size of the total moment: 0.000 Bohr magnetons per cell. Its symmetry is Cmmm (65).

abc: 8.2824 8.2824 3.4191
angles: 90.00 90.00 91.20
Fractional coordinates of all 6 atoms:
Y 0.2318 0.7682 0.0000
Y 0.2616 0.2616 0.5000
Y 0.7384 0.7384 0.5000
Y 0.7682 0.2318 0.0000
Ho 0.0000 0.0000 0.5000
Th 0.5000 0.5000 0.0000

***

Which is most stable, and by how much? model one, by 0.693 eV/atom.

***

Model one:
Y2Ho5Th4: relaxed, PBE.

Computed properties:
As for the size of the total moment: 0.001 Bohr magnetons per cell. Its symmetry is C2/m (12).

abc: 8.9867 8.9867 6.5713
angles: 98.93 98.93 43.40
Fractional coordinates of all 11 atoms:
Y 0.1962 0.1962 0.3232
Y 0.8038 0.8038 0.6768
Ho 0.0000 0.0000 0.5000
Ho 0.1745 0.6541 0.0963
Ho 0.3459 0.8255 0.9037
Ho 0.6541 0.1745 0.0963
Ho 0.8255 0.3459 0.9037
Th 0.2489 0.2489 0.8410
Th 0.4067 0.4067 0.5930
Th 0.5933 0.5933 0.4070
Th 0.7511 0.7511 0.1590

***

Model two:
Y2Ho5Th4: relaxed, PBE.

Computed properties:
As for the size of the total moment: 0.000 Bohr magnetons per cell. Its symmetry is P-1 (2).

abc: 3.5718 8.6533 11.8418
angles: 104.53 98.61 90.05
Fractional coordinates of all 11 atoms:
Y 0.0895 0.2203 0.1799
Y 0.9105 0.7797 0.8201
Ho 0.0000 0.5000 0.0000
Ho 0.2723 0.6863 0.5441
Ho 0.3635 0.4032 0.7266
Ho 0.6365 0.5968 0.2734
Ho 0.7277 0.3137 0.4559
Th 0.1819 0.9528 0.3647
Th 0.4533 0.1374 0.9069
Th 0.5467 0.8626 0.0931
Th 0.8181 0.0472 0.6353

***

Which is most stable, and by how much? model two, by 0.168 eV/atom.

***

Model one:
Y6HoTh3: relaxed, PBE.

Computed properties:
As for the size of the total moment: 0.000 Bohr magnetons per cell. Its symmetry is Cmc2_1 (36).

abc: 10.8988 10.8988 6.3887
angles: 90.00 90.00 119.84
Fractional coordinates of all 20 atoms:
Y 0.0376 0.9624 0.5000
Y 0.0550 0.4681 0.9914
Y 0.2612 0.7388 0.7331
Y 0.2925 0.3740 0.8149
Y 0.3740 0.2925 0.3149
Y 0.4681 0.0550 0.4914
Y 0.5319 0.9450 0.9914
Y 0.6260 0.7075 0.8149
Y 0.7075 0.6260 0.3149
Y 0.7388 0.2612 0.2331
Y 0.9450 0.5319 0.4914
Y 0.9624 0.0376 0.0000
Ho 0.1956 0.8044 0.2427
Ho 0.8044 0.1956 0.7427
Th 0.0588 0.2896 0.4046
Th 0.2896 0.0588 0.9046
Th 0.3813 0.6187 0.3204
Th 0.6187 0.3813 0.8204
Th 0.7104 0.9412 0.4046
Th 0.9412 0.7104 0.9046

***

Model two:
Y6HoTh3: relaxed, PBE.

Computed properties:
As for the size of the total moment: 0.000 Bohr magnetons per cell. Its symmetry is P2_1/m (11).

abc: 13.2144 3.5019 14.2807
angles: 90.00 97.61 90.00
Fractional coordinates of all 20 atoms:
Y 0.0637 0.2500 0.0977
Y 0.1225 0.2500 0.4994
Y 0.2241 0.2500 0.2966
Y 0.2563 0.7500 0.7049
Y 0.3727 0.7500 0.4801
Y 0.4253 0.2500 0.8993
Y 0.5747 0.7500 0.1007
Y 0.6273 0.2500 0.5199
Y 0.7437 0.2500 0.2951
Y 0.7759 0.7500 0.7034
Y 0.8775 0.7500 0.5006
Y 0.9363 0.7500 0.9023
Ho 0.3147 0.7500 0.1053
Ho 0.6853 0.2500 0.8947
Th 0.0080 0.2500 0.7024
Th 0.1745 0.2500 0.8980
Th 0.4778 0.2500 0.2881
Th 0.5222 0.7500 0.7119
Th 0.8255 0.7500 0.1020
Th 0.9920 0.7500 0.2976

***

Which is most stable, and by how much? model two, by 0.099 eV/atom.

***

Model one:
YHoTh: relaxed, PBE.

Computed properties:
As for the size of the total moment: 0.000 Bohr magnetons per cell. Its symmetry is P3m1 (156).

abc: 3.5744 3.5744 8.6578
angles: 90.00 90.00 120.00
Fractional coordinates of all 3 atoms:
Y 0.0000 0.0000 0.0000
Ho 0.3333 0.6667 0.6546
Th 0.6667 0.3333 0.3296

***

Model two:
YHoTh: relaxed, PBE.

Computed properties:
As for the size of the total moment: 0.000 Bohr magnetons per cell. Its symmetry is R-3m (166).

abc: 9.0289 9.0289 9.0289
angles: 35.59 35.59 35.59
Fractional coordinates of all 6 atoms:
Y 0.0643 0.0643 0.0643
Y 0.9357 0.9357 0.9357
Ho 0.2072 0.2072 0.2072
Ho 0.7928 0.7928 0.7928
Th 0.3449 0.3449 0.3449
Th 0.6551 0.6551 0.6551

***

Model three:
YHoTh: relaxed, PBE.

Computed properties:
As for the size of the total moment: 0.000 Bohr magnetons per cell. Its symmetry is P2/m (10).

abc: 6.1516 3.5627 8.7176
angles: 90.00 90.15 90.00
Fractional coordinates of all 6 atoms:
Y 0.1692 0.0000 0.3362
Y 0.8308 0.0000 0.6638
Ho 0.0000 0.5000 0.0000
Ho 0.5000 0.0000 0.0000
Th 0.3362 0.5000 0.6678
Th 0.6638 0.5000 0.3322

***

Which is most stable, and by how much? model one, by 0.015 eV/atom.

***

Model one:
Y6Ho12Th: relaxed, PBE.

Computed properties:
As for the size of the total moment: 0.005 Bohr magnetons per cell. Its symmetry is R-3m (166).

abc: 8.6939 8.6939 8.6939
angles: 99.80 99.80 99.80
Fractional coordinates of all 19 atoms:
Y 0.1642 0.6070 0.6070
Y 0.3930 0.3930 0.8358
Y 0.3930 0.8358 0.3930
Y 0.6070 0.1642 0.6070
Y 0.6070 0.6070 0.1642
Y 0.8358 0.3930 0.3930
Ho 0.0000 0.2550 0.7450
Ho 0.0000 0.7450 0.2550
Ho 0.1537 0.1537 0.4247
Ho 0.1537 0.4247 0.1537
Ho 0.2550 0.0000 0.7450
Ho 0.2550 0.7450 0.0000
Ho 0.4247 0.1537 0.1537
Ho 0.5753 0.8463 0.8463
Ho 0.7450 0.0000 0.2550
Ho 0.7450 0.2550 0.0000
Ho 0.8463 0.5753 0.8463
Ho 0.8463 0.8463 0.5753
Th 0.5000 0.5000 0.5000

***

Model two:
Y6Ho12Th: relaxed, PBE.

Computed properties:
As for the size of the total moment: 0.000 Bohr magnetons per cell. Its symmetry is R-3 (148).

abc: 8.5098 8.5098 8.5098
angles: 88.91 88.91 88.91
Fractional coordinates of all 19 atoms:
Y 0.1867 0.7548 0.5900
Y 0.2452 0.4100 0.8133
Y 0.4100 0.8133 0.2452
Y 0.5900 0.1867 0.7548
Y 0.7548 0.5900 0.1867
Y 0.8133 0.2452 0.4100
Ho 0.0434 0.9384 0.2725
Ho 0.0616 0.7275 0.9566
Ho 0.1533 0.4907 0.2846
Ho 0.2725 0.0434 0.9384
Ho 0.2846 0.1533 0.4907
Ho 0.4907 0.2846 0.1533
Ho 0.5093 0.7154 0.8467
Ho 0.7154 0.8467 0.5093
Ho 0.7275 0.9566 0.0616
Ho 0.8467 0.5093 0.7154
Ho 0.9384 0.2725 0.0434
Ho 0.9566 0.0616 0.7275
Th 0.5000 0.5000 0.5000

***

Which is most stable, and by how much? model two, by 0.073 eV/atom.